[1]
## BaAlAu2 (PBE)

Data for a relaxed structure of BaAlAu2.

a = 5.4041 Å, b = 5.4041 Å, c = 9.3510 Å
α = 73.20°, β = 73.20°, γ = 90.00°
With the nearest neighbours (Å) after each atom.
Positions (direct):
Au1 0.8750 0.6250 0.7500  2 Al 2.53, 2 Au 2.70
Au2 0.3750 0.6250 0.7500  2 Al 2.53, 2 Au 2.70
Au3 0.3750 0.1250 0.2500  2 Al 2.53, 2 Au 2.70
Al1 0.5000 0.5000 0.0000  4 Au 2.53
Au4 0.3750 0.6250 0.2500  2 Al 2.53, 2 Au 2.70
Al2 0.2500 0.7500 0.5000  4 Au 2.53
Ba1 0.7500 0.2500 0.5000  8 Au 3.70, 4 Al 3.82
Ba2 0.0000 0.0000 0.0000  8 Au 3.70, 4 Al 3.82

Results
- Formation enthalpy at 0 K: -46.3 kJ per mole of atoms

***

[2]
## Ba3Al4Au (PBE)

Data for a relaxed structure of Ba3Al4Au.

a = 6.4376 Å, b = 6.1688 Å, c = 12.9467 Å
α = 90.00°, β = 90.00°, γ = 90.00°
With the nearest neighbours (Å) after each atom.
Positions (direct):
Ba1 0.4807 0.5000 0.5000  2 Au 3.25, 8 Al 3.56-3.64
Al1 0.3111 0.5000 0.8928  1 Au 2.74, 3 Al 2.74-2.78
Ba2 0.8083 0.5000 0.7557  1 Au 3.27, 1 Al 3.66
Al2 0.3111 0.5000 0.1072  1 Au 2.74, 3 Al 2.74-2.78
Ba3 0.5193 0.0000 0.0000  2 Au 3.25, 8 Al 3.56-3.64
Al3 0.6889 0.0000 0.6072  1 Au 2.74, 3 Al 2.74-2.78
Al4 0.6889 0.0000 0.3928  1 Au 2.74, 3 Al 2.74-2.78
Ba4 0.8083 0.5000 0.2443  1 Au 3.27, 1 Al 3.66
Al5 0.0250 0.7407 0.0000  1 Au 2.68, 3 Al 2.74-2.97
Al6 0.9750 0.2407 0.5000  1 Au 2.68, 3 Al 2.74-2.97
Ba5 0.1917 0.0000 0.7443  1 Au 3.27, 1 Al 3.66
Au1 0.3221 0.0000 0.5000  4 Al 2.68-2.74
Ba6 0.1917 0.0000 0.2557  1 Au 3.27, 1 Al 3.66
Au2 0.6779 0.5000 0.0000  4 Al 2.68-2.74
Al7 0.9750 0.7593 0.5000  1 Au 2.68, 3 Al 2.74-2.97
Al8 0.0250 0.2593 0.0000  1 Au 2.68, 3 Al 2.74-2.97

Results
- Formation enthalpy at 0 K: -29.8 kJ per mole of atoms

***

[3]
## BaAl6Au12 (PBE)

Data for a relaxed structure of BaAl6Au12.

a = 7.5196 Å, b = 7.5196 Å, c = 7.5196 Å
α = 105.01°, β = 105.01°, γ = 105.01°
With the nearest neighbours (Å) after each atom.
Positions (direct):
Al1 0.2747 0.6905 0.2747  7 Au 2.63-2.71
Au1 0.1188 0.5000 0.8812  4 Al 2.63-2.71, 3 Au 2.83-2.88
Au2 0.6006 0.6006 0.8603  3 Al 2.67-2.70, 2 Au 2.88
Au3 0.5000 0.1188 0.8812  4 Al 2.63-2.71, 3 Au 2.83-2.88
Ba1 0.0000 0.0000 0.0000  6 Au 3.35
Al2 0.3095 0.7253 0.7253  7 Au 2.63-2.71
Au4 0.3994 0.3994 0.1397  3 Al 2.67-2.70, 2 Au 2.88
Al3 0.7253 0.7253 0.3095  7 Au 2.63-2.71
Au5 0.5000 0.8812 0.1188  4 Al 2.63-2.71, 3 Au 2.83-2.88
Au6 0.3994 0.1397 0.3994  3 Al 2.67-2.70, 2 Au 2.88
Au7 0.1397 0.3994 0.3994  3 Al 2.67-2.70, 2 Au 2.88
Al4 0.6905 0.2747 0.2747  7 Au 2.63-2.71
Al5 0.7253 0.3095 0.7253  7 Au 2.63-2.71
Au8 0.8603 0.6006 0.6006  3 Al 2.67-2.70, 2 Au 2.88
Al6 0.2747 0.2747 0.6905  7 Au 2.63-2.71
Au9 0.8812 0.5000 0.1188  4 Al 2.63-2.71, 3 Au 2.83-2.88
Au10 0.8812 0.1188 0.5000  4 Al 2.63-2.71, 3 Au 2.83-2.88
Au11 0.1188 0.8812 0.5000  4 Al 2.63-2.71, 3 Au 2.83-2.88
Au12 0.6006 0.8603 0.6006  3 Al 2.67-2.70, 2 Au 2.88

Results
- Formation enthalpy at 0 K: -36.3 kJ per mole of atoms
- Polymorph energy (0 for the lowest one): 0 meV/atom

***

[4]
## BaAlAu4 (PBE)

Data for a relaxed structure of BaAlAu4.

a = 6.6463 Å, b = 6.3672 Å, c = 7.4421 Å
α = 115.33°, β = 89.88°, γ = 90.00°
With the nearest neighbours (Å) after each atom.
Positions (direct):
Au1 0.6628 0.2729 0.5458  1 Al 2.50
Ba1 0.8284 0.7949 0.5899  10 Au 3.38-3.58
Al1 0.6994 0.4579 0.9158  5 Au 2.50-2.63
Au2 0.6129 0.3187 0.1891  2 Al 2.61-2.81, 3 Au 2.81-2.87
Au3 0.0000 0.2477 0.0000  2 Al 2.63, 2 Au 2.87
Au4 0.3871 0.1296 0.8109  2 Al 2.61-2.81, 3 Au 2.81-2.87
Au5 0.0000 0.7523 0.0000  2 Al 2.63, 2 Au 2.87
Al2 0.3006 0.5421 0.0842  5 Au 2.50-2.63
Au6 0.3871 0.6813 0.8109  2 Al 2.61-2.81, 3 Au 2.81-2.87
Ba2 0.1716 0.2051 0.4101  10 Au 3.38-3.58
Au7 0.3372 0.7271 0.4542  1 Al 2.50
Au8 0.6129 0.8704 0.1891  2 Al 2.61-2.81, 3 Au 2.81-2.87

Results
- Formation enthalpy at 0 K: -48.2 kJ per mole of atoms
- Polymorph energy (0 for the lowest one): 0 meV/atom

***

[5]
## BaAl2Au8 (PBE)

Data for a relaxed structure of BaAl2Au8.

a = 5.6252 Å, b = 5.6252 Å, c = 8.9473 Å
α = 90.00°, β = 90.00°, γ = 90.00°
With the nearest neighbours (Å) after each atom.
Positions (direct):
Au1 0.2472 0.2472 0.8087  2 Al 2.62, 4 Au 2.78-2.84
Al1 0.0000 0.5000 0.0000  8 Au 2.62
Au2 0.2472 0.2472 0.1913  2 Al 2.62, 4 Au 2.78-2.84
Ba1 0.5000 0.5000 0.5000  8 Au 3.42
Au3 0.7528 0.2472 0.8087  2 Al 2.62, 4 Au 2.78-2.84
Au4 0.2472 0.7528 0.1913  2 Al 2.62, 4 Au 2.78-2.84
Al2 0.5000 0.0000 0.0000  8 Au 2.62
Au5 0.7528 0.2472 0.1913  2 Al 2.62, 4 Au 2.78-2.84
Au6 0.7528 0.7528 0.8087  2 Al 2.62, 4 Au 2.78-2.84
Au7 0.7528 0.7528 0.1913  2 Al 2.62, 4 Au 2.78-2.84
Au8 0.2472 0.7528 0.8087  2 Al 2.62, 4 Au 2.78-2.84

Results
- Formation enthalpy at 0 K: -24.8 kJ per mole of atoms

***

[6]
## BaAl3Au (PBE)

Data for a relaxed structure of BaAl3Au.

a = 6.4923 Å, b = 6.4925 Å, c = 6.3490 Å
α = 90.00°, β = 90.00°, γ = 60.21°
With the nearest neighbours (Å) after each atom.
Positions (direct):
Al1 0.0447 0.7184 0.3024  2 Au 2.68, 2 Al 2.74
Au1 0.6644 0.8668 0.0524  5 Al 2.68
Al2 0.5159 0.2472 0.8024  2 Au 2.68, 2 Al 2.74
Al3 0.5159 0.2472 0.3023  2 Au 2.68, 2 Al 2.74
Al4 0.4253 0.6279 0.0524  1 Au 2.68, 4 Al 2.74
Al5 0.1353 0.3378 0.5524  1 Au 2.68, 4 Al 2.74
Ba1 0.0230 0.2255 0.0524  12 Al 3.42-3.64, 4 Au 3.48-3.62
Ba2 0.5376 0.7402 0.5524  12 Al 3.42-3.64, 4 Au 3.48-3.62
Al6 0.0447 0.7184 0.8023  2 Au 2.68, 2 Al 2.74
Au2 0.8962 0.0989 0.5524  5 Al 2.68

Results
- Formation enthalpy at 0 K: -44.1 kJ per mole of atoms

***

[7]
## BaAl4Au6 (PBE)

Data for a relaxed structure of BaAl4Au6.

a = 7.0750 Å, b = 6.8446 Å, c = 6.5884 Å
α = 64.49°, β = 61.31°, γ = 97.39°
With the nearest neighbours (Å) after each atom.
Positions (direct):
Al1 0.8331 0.7560 0.7188  5 Au 2.64-2.84, 1 Al 2.95
Al2 0.4422 0.1386 0.2262  5 Au 2.53-2.73
Au1 0.7437 0.4106 0.6527  4 Al 2.59-2.73, 1 Au 2.84
Au2 0.6215 0.0183 0.4999  2 Al 2.53-2.59
Au3 0.9867 0.4778 0.9682  3 Al 2.52-2.66, 1 Au 2.82
Al3 0.1831 0.5625 0.4769  5 Au 2.53-2.69
Au4 0.5591 0.9061 0.0078  3 Al 2.53-2.66
Au5 0.0837 0.2323 0.3808  3 Al 2.53-2.69
Au6 0.5480 0.4594 0.3371  3 Al 2.60-2.82, 2 Au 2.82-2.85
Al4 0.4225 0.5735 0.7339  4 Au 2.52-2.82
Ba1 0.0768 0.9651 0.9975  11 Au 3.42-3.71, 5 Al 3.61-3.70

Results
- Formation enthalpy at 0 K: -45.0 kJ per mole of atoms

***

[8]
## Ba2Al2Au (PBE)

Data for a relaxed structure of Ba2Al2Au.

a = 6.9298 Å, b = 6.9298 Å, c = 7.6831 Å
α = 108.94°, β = 71.06°, γ = 113.29°
With the nearest neighbours (Å) after each atom.
Positions (direct):
Ba1 0.8251 0.2004 0.4771  2 Au 3.50-3.63, 5 Al 3.56-3.69, 3 Ba 3.85-3.86
Al1 0.3981 0.3035 0.3889  2 Au 2.61-2.69, 2 Al 2.75-2.80
Au1 0.6549 0.6549 0.2500  4 Al 2.61-2.69
Ba2 0.1749 0.7996 0.5229  2 Au 3.50-3.63, 5 Al 3.56-3.69, 3 Ba 3.85-3.86
Ba3 0.7996 0.1749 0.9771  2 Au 3.50-3.63, 5 Al 3.56-3.69, 3 Ba 3.85-3.86
Al2 0.6019 0.6965 0.6111  2 Au 2.61-2.69, 2 Al 2.75-2.80
Al3 0.3035 0.3981 0.1111  2 Au 2.61-2.69, 2 Al 2.75-2.80
Al4 0.6965 0.6019 0.8889  2 Au 2.61-2.69, 2 Al 2.75-2.80
Ba4 0.2004 0.8251 0.0229  2 Au 3.50-3.63, 5 Al 3.56-3.69, 3 Ba 3.85-3.86
Au2 0.3451 0.3451 0.7500  4 Al 2.61-2.69

Results
- Formation enthalpy at 0 K: -34.6 kJ per mole of atoms
- Polymorph energy (0 for the lowest one): 0 meV/atom

***

[9]
## Ba3Al8Au3 (PBE)

Data for a relaxed structure of Ba3Al8Au3.

a = 4.4274 Å, b = 9.1216 Å, c = 9.1216 Å
α = 82.93°, β = 75.95°, γ = 75.95°
With the nearest neighbours (Å) after each atom.
Positions (direct):
Al1 0.3946 0.3017 0.9091  4 Al 2.66-2.84, 3 Au 2.66-2.74
Al2 0.8106 0.8773 0.5016  1 Au 2.58, 3 Al 2.66-2.84
Al3 0.8106 0.5016 0.8773  1 Au 2.58, 3 Al 2.66-2.84
Au1 0.0000 0.2446 0.7554  6 Al 2.58-2.66
Al4 0.6054 0.6983 0.0909  4 Al 2.66-2.84, 3 Au 2.66-2.74
Al5 0.1894 0.4984 0.1227  1 Au 2.58, 3 Al 2.66-2.84
Au2 0.5000 0.0000 0.0000  4 Al 2.74
Al6 0.1894 0.1227 0.4984  1 Au 2.58, 3 Al 2.66-2.84
Ba1 0.5000 0.5000 0.5000  4 Au 3.80, 12 Al 3.91-4.01, 2 Ba 3.92
Al7 0.3946 0.9091 0.3017  4 Al 2.66-2.84, 3 Au 2.66-2.74
Ba2 0.1969 0.8031 0.8031  2 Au 3.37, 10 Al 3.45-3.77
Au3 0.0000 0.7554 0.2446  6 Al 2.58-2.66
Al8 0.6054 0.0909 0.6983  4 Al 2.66-2.84, 3 Au 2.66-2.74
Ba3 0.8031 0.1969 0.1969  2 Au 3.37, 10 Al 3.45-3.77

Results
- Formation enthalpy at 0 K: -36.8 kJ per mole of atoms

***

[10]
## BaAl2Au3 (PBE)

Data for a relaxed structure of BaAl2Au3.

a = 5.6824 Å, b = 6.9937 Å, c = 6.9937 Å
α = 105.52°, β = 90.00°, γ = 90.00°
With the nearest neighbours (Å) after each atom.
Positions (direct):
Al1 0.5000 0.1953 0.8047  6 Au 2.57-2.86, 2 Al 2.84
Au1 0.7500 0.0978 0.4879  4 Al 2.57-2.86, 1 Au 2.86
Au2 0.7500 0.0740 0.0740  4 Al 2.67, 2 Au 2.86
Au3 0.7500 0.4879 0.0978  4 Al 2.57-2.86, 1 Au 2.86
Au4 0.2500 0.5121 0.9022  4 Al 2.57-2.86, 1 Au 2.86
Ba1 0.7500 0.6688 0.6688  9 Au 3.43-3.59, 4 Al 3.82
Au5 0.2500 0.9260 0.9260  4 Al 2.67, 2 Au 2.86
Al2 0.5000 0.8047 0.1953  6 Au 2.57-2.86, 2 Al 2.84
Al3 0.0000 0.8047 0.1953  6 Au 2.57-2.86, 2 Al 2.84
Al4 0.0000 0.1953 0.8047  6 Au 2.57-2.86, 2 Al 2.84
Au6 0.2500 0.9022 0.5121  4 Al 2.57-2.86, 1 Au 2.86
Ba2 0.2500 0.3312 0.3312  9 Au 3.43-3.59, 4 Al 3.82

Results
- Formation enthalpy at 0 K: -63.3 kJ per mole of atoms